4
Lattice="0.000 3.156 3.156 3.156 0.000 3.156 3.156 3.156 0.000" Properties=species:S:1:pos:R:3 comment="YCrOs2 meta-GGA SCAN single point on PBEsol structure" formation_energy_ev_per_atom=0.216 dos_at_fermi_per_ev_atom=0.92 relative_energy_ev_per_fu=0.00 sg="No. 225" pbc="T T T"
Y 0.000 0.000 0.000
Cr 3.156 3.156 3.156
Os 1.578 1.578 1.578
Os 4.734 4.734 4.734

28
Lattice="4.845 0.000 0.000 0.000 8.182 0.000 -1.896 0.000 7.425" Properties=species:S:1:pos:R:3 comment="Li2ScP2HO8 meta-GGA SCAN single point on PBEsol structure" e_tot_ev_per_atom=-9.365 dos_at_fermi_per_ev_atom=0.00 sg="No. 4" pbc="T T T"
Li 0.465 0.000 0.667
Li 0.989 5.961 3.059
Li 1.960 1.870 4.367
Li 2.484 4.091 6.758
Sc 0.730 2.982 1.859
Sc 2.219 7.073 5.566
P -0.370 0.123 3.535
P 1.854 5.828 0.166
P 1.095 1.737 7.259
P 3.319 4.214 3.890
H -0.183 2.939 5.586
H 3.132 7.030 1.839
O -1.266 3.473 5.233
O -0.232 4.426 3.083
O -1.010 6.739 6.811
O 0.313 1.466 3.208
O 1.161 4.493 0.494
O 0.599 7.416 4.345
O 1.698 1.530 0.635
O 0.823 2.455 5.894
O 2.126 6.546 1.531
O 1.251 5.621 6.790
O 2.350 3.325 3.080
O 1.788 0.402 6.931
O 2.636 5.557 4.217
O 3.959 2.647 0.614
O 3.181 0.335 4.342
O 4.215 7.564 2.192

5
Lattice="5.433 0.000 0.000 0.000 5.433 0.000 0.000 0.000 5.433" Properties=species:S:1:pos:R:3 comment="Ca3TaC meta-GGA SCAN single point on PBEsol structure" formation_energy_ev_per_atom=2.281 dos_at_fermi_per_ev_atom=0.97 sg="No. 221" pbc="T T T"
Ca 0.000 0.000 2.717
Ca 0.000 2.717 0.000
Ca 2.717 0.000 0.000
Ta 0.000 0.000 0.000
C 2.717 2.717 2.717